Computed, not measured: an optimized crystal structure of Hf2ZrTiC4 at the PBE-GGA level of DFT.

Output
ΔE_f in eV/f.u.: -6.63
Final energy in eV/atom: -9.98
Calculated density in g/cm³: 9.3

```
data_Hf2ZrTiC4
_cell_length_a 5.631
_cell_length_b 3.255
_cell_length_c 5.633
_cell_angle_alpha 90.00
_cell_angle_beta 109.47
_cell_angle_gamma 90.00
_space_group_name_H-M_alt 'P 1 2/m 1'
_space_group_IT_number 10
loop_
_space_group_symop_operation_xyz
'x,y,z'
'-x,-y,-z'
'-x,y,-z'
'x,-y,z'
loop_
_atom_site_label
_atom_site_type_symbol
_atom_site_fract_x
_atom_site_fract_y
_atom_site_fract_z
Hf1 Hf 0.000 0.000 0.000
Hf2 Hf 0.500 0.500 0.000
Zr1 Zr 0.000 0.500 0.500
Ti1 Ti 0.500 0.000 0.500
C1 C 0.256 0.000 0.749
C2 C 0.259 0.500 0.256
```

---

Computed, not measured: an optimized crystal structure of Cs2LiHg2Br6 at the PBE-GGA level of DFT.

Output
Energy relative to the elements, uncorrected in meV per atom: -1059
Final energy in eV/atom: -2.36
Calculated density in g/cm³: 4.5

```
data_Cs2LiHg2Br6
_cell_length_a 14.006
_cell_length_b 8.080
_cell_length_c 8.749
_cell_angle_alpha 90.00
_cell_angle_beta 119.96
_cell_angle_gamma 90.00
_space_group_name_H-M_alt 'C 1 2/m 1'
_space_group_IT_number 12
loop_
_space_group_symop_operation_xyz
'x,y,z'
'-x,-y,-z'
'-x,y,-z'
'x,-y,z'
'x+1/2,y+1/2,z'
'-x+1/2,-y+1/2,-z'
'-x+1/2,y+1/2,-z'
'x+1/2,-y+1/2,z'
loop_
_atom_site_label
_atom_site_type_symbol
_atom_site_fract_x
_atom_site_fract_y
_atom_site_fract_z
Cs1 Cs 0.220 0.000 0.201
Li1 Li 0.000 0.000 0.500
Hg1 Hg 0.045 0.500 0.185
Br1 Br 0.049 0.222 0.771
Br2 Br 0.235 0.000 0.627
```